(1)
A geometry-optimized TlCuRh structure, computed with PBE-GGA.

- total magnetization (μB per formula unit) = 0.00
- DFT formation energy (eV per formula unit) = 0.91
- offset from the most stable computed form (eV/atom) = 0.158

Cell: 6.1811 6.1811 6.1811 Å, 90.00 90.00 90.00°
Closest atoms and distances in Å follow each position.
Space group F-43m (No. 216)
Symmetry-distinct sites (fractional):
Tl 0.0000 0.0000 0.0000  4 Rh 2.68
Cu 0.0000 0.0000 0.5000  4 Rh 2.68
Rh 0.2500 0.2500 0.7500  4 Tl 2.68, 4 Cu 2.68



(2)
A geometry-optimized AcTmAgBi structure, computed with PBE-GGA.

- total magnetization (μB per formula unit) = 1.08
- DFT formation energy (eV per formula unit) = -1.44

Cell: 7.8473 7.8473 7.8473 Å, 90.00 90.00 90.00°
Closest atoms and distances in Å follow each position.
Space group F-43m (No. 216)
Symmetry-distinct sites (fractional):
Ac 0.0000 0.0000 0.0000  4 Ag 3.40, 4 Bi 3.40
Tm 0.0000 0.0000 0.5000  4 Bi 3.40, 4 Ag 3.40
Ag 0.2500 0.2500 0.7500  4 Tm 3.40, 4 Ac 3.40
Bi 0.2500 0.2500 0.2500  4 Ac 3.40, 4 Tm 3.40



(3)
A geometry-optimized LiAcTmSn structure, computed with PBE-GGA.

- total magnetization (μB per formula unit) = 0.00
- DFT formation energy (eV per formula unit) = -1.24

Cell: 7.7287 7.7287 7.7287 Å, 90.00 90.00 90.00°
Closest atoms and distances in Å follow each position.
Space group F-43m (No. 216)
Symmetry-distinct sites (fractional):
Li 0.0000 0.0000 0.0000  4 Tm 3.35, 4 Ac 3.35
Ac 0.2500 0.2500 0.7500  4 Sn 3.35, 4 Li 3.35
Tm 0.2500 0.2500 0.2500  4 Sn 3.35, 4 Li 3.35
Sn 0.0000 0.0000 0.5000  4 Ac 3.35, 4 Tm 3.35



(4)
A geometry-optimized LiTb2Y6 structure, computed with PBE-GGA.

- total magnetization (μB per formula unit) = 0.00
- DFT formation energy (eV per formula unit) = 0.75

Cell: 10.5438 10.5438 5.0772 Å, 90.00 90.00 90.00°
Closest atoms and distances in Å follow each position.
Space group P4_2/mnm (No. 136)
Symmetry-distinct sites (fractional):
Li 0.0000 0.0000 0.0000  8 Y 3.50-3.51, 4 Tb 3.64
Tb 0.1753 0.1753 0.5000  10 Y 3.48-3.55, 2 Li 3.64
Y 0.0053 0.3330 0.0000  3 Tb 3.48-3.52, 1 Li 3.51, 8 Y 3.52-3.58
Y 0.1612 0.8388 0.5000  2 Li 3.50, 6 Y 3.52-3.58, 4 Tb 3.52-3.55



(5)
A geometry-optimized LaCdOs2 structure, computed with PBE-GGA.

- total magnetization (μB per formula unit) = 0.57
- DFT formation energy (eV per formula unit) = 2.40

Cell: 4.3196 4.3196 4.1845 Å, 90.00 90.00 90.00°
Closest atoms and distances in Å follow each position.
Space group P4/mmm (No. 123)
Symmetry-distinct sites (fractional):
La 0.0000 0.0000 0.0000  8 Os 3.01, 4 Cd 3.05
Cd 0.5000 0.5000 0.0000  8 Os 3.01, 4 La 3.05
Os 0.0000 0.5000 0.5000  4 Cd 3.01, 4 La 3.01, 4 Os 3.05



(6)
A geometry-optimized LiScMn2 structure, computed with PBE-GGA.

- total magnetization (μB per formula unit) = 2.06
- DFT formation energy (eV per formula unit) = 2.61
- offset from the most stable computed form (eV/atom) = 0.489

Cell: 3.5810 3.5810 18.0700 Å, 90.00 90.00 90.00°
Closest atoms and distances in Å follow each position.
Space group I-42d (No. 122)
Symmetry-distinct sites (fractional):
Li 0.0000 0.0000 0.0000  4 Mn 2.52, 4 Sc 2.53
Sc 0.0000 0.0000 0.5000  4 Li 2.53, 4 Mn 2.68
Mn 0.1844 0.7500 0.1250  2 Mn 2.22



(7)
A geometry-optimized LaZr2Sc structure, computed with PBE-GGA.

- total magnetization (μB per formula unit) = 0.00
- DFT formation energy (eV per formula unit) = 0.69
- offset from the most stable computed form (eV/atom) = 0.075

Cell: 7.4349 7.4349 7.4349 Å, 90.00 90.00 90.00°
Closest atoms and distances in Å follow each position.
Space group F-43m (No. 216)
Symmetry-distinct sites (fractional):
La 0.0000 0.0000 0.0000  4 Zr 3.22, 4 Sc 3.22
Zr 0.0000 0.0000 0.5000  4 Sc 3.22, 4 Zr 3.22
Zr 0.2500 0.2500 0.7500  4 Zr 3.22, 4 La 3.22
Sc 0.2500 0.2500 0.2500  4 Zr 3.22, 4 La 3.22



(8)
A geometry-optimized GaSb3Pd6 structure, computed with PBE-GGA.

- formation energy from raw total energies (eV per atom) = -0.4233
- total magnetization (μB per formula unit) = 0.00

Cell: 11.1239 3.3282 11.2179 Å, 90.00 119.45 90.00°
Closest atoms and distances in Å follow each position.
Space group P2_1/m (No. 11)
Symmetry-distinct sites (fractional):
Ga 0.2168 0.2500 0.0731  6 Pd 2.49-2.66
Sb 0.0437 0.7500 0.3396  5 Pd 2.59-2.80
Sb 0.3560 0.2500 0.4889  6 Pd 2.78-2.87
Sb 0.3563 0.7500 0.7822  8 Pd 2.65-2.96
Pd 0.0257 0.7500 0.9044  3 Ga 2.63-2.83
Pd 0.1433 0.2500 0.5608  6 Sb 2.73-2.96, 1 Pd 2.94
Pd 0.2137 0.2500 0.8497  1 Ga 2.49, 3 Sb 2.59-2.65
Pd 0.2240 0.7500 0.2499  2 Ga 2.56, 1 Sb 2.65
Pd 0.4146 0.7500 0.0646  2 Ga 2.80, 3 Sb 2.81-2.90, 4 Pd 2.88-3.00
Pd 0.4568 0.2500 0.3044  1 Ga 2.66, 4 Sb 2.69-2.80, 2 Pd 2.88



(9)
A geometry-optimized K2YP structure, computed with PBE-GGA.

- total magnetization (μB per formula unit) = 0.01
- DFT formation energy (eV per formula unit) = -1.80

Cell: 3.9277 3.9277 11.0248 Å, 90.00 90.00 90.00°
Closest atoms and distances in Å follow each position.
Space group P4mm (No. 99)
Symmetry-distinct sites (fractional):
K 0.0000 0.0000 0.0000  1 P 3.50
K 0.5000 0.5000 0.3549  1 Y 3.83, 4 K 3.93
Y 0.5000 0.5000 0.7022  4 P 2.79
P 0.0000 0.0000 0.6823  4 Y 2.79



(10)
A geometry-optimized Li2InCu2 structure, computed with PBE-GGA.

- total magnetization (μB per formula unit) = 0.00
- DFT formation energy (eV per formula unit) = 0.48
- offset from the most stable computed form (eV/atom) = 0.226

Cell: 3.7097 3.7097 12.0392 Å, 90.00 90.00 90.00°
Closest atoms and distances in Å follow each position.
Space group I4/mmm (No. 139)
Symmetry-distinct sites (fractional):
Li 0.0000 0.5000 0.2500  4 Cu 2.60, 4 Li 2.62
In 0.0000 0.0000 0.0000  8 Cu 2.88
Cu 0.0000 0.0000 0.4011  1 Cu 2.38, 4 Li 2.60



(11)
A geometry-optimized K4Dy3GaO8 structure, computed with PBE-GGA.

- formation energy from raw total energies (eV per atom) = -2.4293
- total magnetization (μB per formula unit) = 0.00

Cell: 11.7764 6.7940 7.3712 Å, 90.00 122.18 90.00°
Closest atoms and distances in Å follow each position.
Space group C2/m (No. 12)
Symmetry-distinct sites (fractional):
K 0.0000 0.0000 0.0000  6 O 2.85-2.86
K 0.0000 0.5000 0.0000  6 O 2.75-2.77
K 0.2500 0.2500 0.0000  6 O 2.75-2.77
Dy 0.0000 0.0000 0.5000  6 O 2.28-2.31
Dy 0.2500 0.2500 0.5000  6 O 2.28-2.32
Ga 0.0000 0.5000 0.5000  6 O 2.18-2.19
O 0.0181 0.2634 0.3177  1 Ga 2.18, 2 Dy 2.31-2.32
O 0.2196 0.5000 0.6832  1 Ga 2.19, 2 Dy 2.31
O 0.2287 0.0000 0.6862  3 Dy 2.28



(12)
A geometry-optimized V2GaRe structure, computed with PBE-GGA.

- total magnetization (μB per formula unit) = 0.00
- DFT formation energy (eV per formula unit) = 1.89

Cell: 7.0033 7.0033 5.1522 Å, 90.00 90.00 90.00°
Closest atoms and distances in Å follow each position.
Space group I-42d (No. 122)
Symmetry-distinct sites (fractional):
V 0.2184 0.7500 0.1250  2 Re 2.41, 2 V 2.61
Ga 0.0000 0.0000 0.5000  2 Re 2.58, 4 V 2.71
Re 0.0000 0.0000 0.0000  4 V 2.41, 2 Ga 2.58